Compound: NdTl2FeO6
Source: the Alexandria database
Functional: GGA+U
Structure: optimized geometry

CIF file:
```
data_NdTl2FeO6
_symmetry_space_group_name_H-M 'R 3'
_symmetry_Int_Tables_number 146
_symmetry_space_group_name_Hall 'R 3'
_cell_length_a 5.6676
_cell_length_b 5.6676
_cell_length_c 14.9504
_cell_angle_alpha 90.00
_cell_angle_beta 90.00
_cell_angle_gamma 120.00
loop_
_atom_site_label
_atom_site_type_symbol
_atom_site_fract_x
_atom_site_fract_y
_atom_site_fract_z
Nd1 Nd 0.0000 0.0000 0.0000
Tl1 Tl 0.0000 0.0000 0.2647
Tl2 Tl 0.0000 0.0000 0.7804
Fe1 Fe 0.0000 0.0000 0.4858
O1 O 0.0135 0.3853 0.2234
O2 O 0.0661 0.6763 0.0704
```

Values from the calculation:
Uncorrected energy = -173.5 eV per cell